(1)
LaNi3Rh2 (PBE, optimized geometry); calculated formation energy = -0.223 eV/atom; energy above the lowest structure with this stoichiometry = 0.126 eV/atom; V = 16.70 Å³ per atom
1.0
-3.493 -0.868 -3.657
-1.433 -5.496 2.673
-4.141 3.545 3.114
Rh Ni La
4 6 2
Direct
0.000 0.778 0.222
0.000 0.222 0.778
0.500 0.778 0.222
0.500 0.222 0.778
0.750 0.455 0.071
0.750 0.065 0.065
0.250 0.935 0.935
0.250 0.545 0.929
0.750 0.071 0.455
0.250 0.929 0.545
0.250 0.301 0.301
0.750 0.699 0.699

(2)
LaNiRh (PBE, optimized geometry); calculated formation energy = -0.223 eV/atom; V = 19.35 Å³ per atom
1.0
-3.606 -2.403 3.067
-4.085 -2.829 -1.868
5.249 0.562 -0.561
La Ni Rh
1 1 1
Direct
0.000 0.000 0.000
0.289 0.289 0.000
0.711 0.711 0.000

(3)
LaNi2Rh (PBE, optimized geometry); calculated formation energy = -0.097 eV/atom; energy above the lowest structure with this stoichiometry = 0.292 eV/atom; V = 20.18 Å³ per atom
1.0
-0.360 1.353 -4.087
3.738 -1.935 -0.970
-2.585 -7.536 -4.550
Ni Rh La
4 2 2
Direct
0.444 0.125 0.250
0.375 0.556 0.750
0.875 0.694 0.750
0.306 0.625 0.250
0.250 0.750 0.500
0.500 0.500 0.000
0.000 0.000 0.000
0.750 0.250 0.500

What is the formula in the second record?
LaNiRh

Look up the V of the first one.
16.70 Å³ per atom